This record from the Alexandria database describes ZnAsS2N after structural relaxation. The functional is PBE.

Lattice parameters (Å, degrees): 4.845 4.845 3.725 90.00 90.00 90.00
Sites, in units of the cell vectors:
Zn (0.000, 0.000, 0.000)
As (0.500, 0.500, 0.500)
S (0.000, 0.500, 0.000)
S (0.500, 0.000, 0.000)
N (0.000, 0.000, 0.500)

**Formation energy from raw total energies**: 97.76 kJ per mole of atoms
**Symmetry**: P4/mmm (123)
**Relative energy among the computed polymorphs**: 20.0 kJ per mole of atoms
**Electronic total energy**: -3.49 eV/atom

---

This record from the Alexandria database describes Cs2K4Rb7 after structural relaxation. The functional is PBE.

Lattice parameters (Å, degrees): 8.699 8.699 18.212 90.00 90.00 120.00
Sites, in units of the cell vectors:
Cs (0.333, 0.667, 0.000)
Cs (0.667, 0.333, 0.000)
K (0.000, 0.000, 0.396)
K (0.000, 0.000, 0.604)
K (0.333, 0.667, 0.500)
K (0.667, 0.333, 0.500)
Rb (0.000, 0.000, 0.000)
Rb (0.000, 0.364, 0.236)
Rb (0.000, 0.636, 0.764)
Rb (0.364, 0.000, 0.236)
Rb (0.364, 0.364, 0.764)
Rb (0.636, 0.000, 0.764)
Rb (0.636, 0.636, 0.236)

**Symmetry**: P-31m (162)
**Electronic total energy**: -0.94 eV/atom
**Energy of formation**: 0.05 eV/atom